Material: Ag7SnTe6
Method: DFT, GGA-PBE
State: relaxed

Output
Crystal system: trigonal
Theoretical density (g/cm3): 7.047
E (eV/cell): -43.4
Space group: No. 146

abc: 7.648 7.648 8.812
angles: 64.28 64.28 60.00
Sites, in units of the cell vectors:
Te 0.915 0.586 0.230
Sn 0.997 0.997 0.008
Te 0.737 0.069 0.784
Ag 0.545 0.861 0.407
Ag 0.861 0.188 0.407
Ag 0.452 0.131 0.606
Te 0.069 0.410 0.784
Te 0.269 0.915 0.230
Ag 0.810 0.452 0.606
Te 0.410 0.737 0.784
Ag 0.665 0.665 0.006
Te 0.586 0.269 0.230
Ag 0.188 0.545 0.407
Ag 0.131 0.810 0.606